No. 1
DFT (PBE) results for a geometry-optimized BeZn2Cl structure.

The structure in POSCAR format:
```
BeZn2Cl
1.0
4.867 0.000 0.000
0.000 4.867 0.000
0.000 0.000 2.780
Zn Be Cl
2 1 1
direct
0.000 0.000 0.000
0.500 0.500 0.000
0.500 0.000 0.500
0.000 0.500 0.500
```

Summary:
Spin magnetization = 0.00 μB per formula unit
Space group = P4/mmm
Relative energy among the computed polymorphs = 459.1 meV per atom
E_form (uncorrected) = 0.367 eV/atom
Density of states at the Fermi level = 2.4 states/eV/f.u.

***

No. 2
DFT (PBE) results for a geometry-optimized RbBeSiBr2 structure.

The structure in POSCAR format:
```
RbBeSiBr2
1.0
-2.687 -1.724 3.575
4.564 -8.014 -0.435
3.184 1.641 3.185
Be Si Br Rb
1 1 2 1
direct
0.000 0.000 0.000
0.500 0.500 0.500
0.000 0.000 0.500
0.500 0.000 0.000
0.000 0.500 0.000
```

Summary:
Spin magnetization = 2.86 μB per formula unit
Space group = P4/mmm
E_form (uncorrected) = 0.349 eV/atom
Density of states at the Fermi level = 1.6 states/eV/f.u.

***

No. 3
DFT (PBE) results for a geometry-optimized CdNi2W structure.

The structure in POSCAR format:
```
CdNi2W
1.0
6.811 0.000 0.000
0.000 6.811 0.000
3.406 3.406 2.762
Cd Ni W
2 4 2
direct
0.250 0.750 0.500
0.500 0.500 0.000
0.375 0.347 0.750
0.653 0.125 0.250
0.875 0.903 0.750
0.097 0.625 0.250
0.000 0.000 0.000
0.750 0.250 0.500
```

Summary:
Spin magnetization = 0.00 μB per formula unit
Formation energy from the elements = 0.76 eV/atom
Space group = I-42d
Density of states at the Fermi level = 5.5 states/eV/f.u.

***

Calculated V in order - 65.8 212.1 128.1 Å³/cell